[1]
The following is a DFT calculation (GGA-PBE) of a relaxed structure of HoLuFePd.

Values from the calculation:
- DFT total energy: -24.22 eV/cell
- ΔH_f (0 K): -0.367 eV/atom
- Space group: No. 216
- Spin magnetization: 0.015 μB per atom
- Theoretical density: 10.87 Mg/m³

Cell lengths 4.769, 4.769, 4.769 Å; angles 60.00, 60.00, 60.00 degrees
Fractional coordinates of all 4 atoms:
1 Ho 0.000 0.000 0.000
2 Lu 0.500 0.500 0.500
3 Fe 0.750 0.750 0.750
4 Pd 0.250 0.250 0.250

---

[2]
The following is a DFT calculation (GGA-PBE) of a relaxed structure of PuTlPd.

Values from the calculation:
- DFT total energy: -89.94 eV/cell
- ΔH_f (0 K): -0.198 eV/atom
- Space group: No. 62
- Spin magnetization: 1.871 μB per atom
- Theoretical density: 13.17 Mg/m³

Cell lengths 9.596, 4.866, 5.994 Å; angles 90.00, 90.00, 90.00 degrees
Fractional coordinates of all 12 atoms:
1 Pu 0.048 0.250 0.124
2 Pu 0.452 0.750 0.624
3 Pu 0.548 0.250 0.376
4 Pu 0.952 0.750 0.876
5 Tl 0.214 0.250 0.594
6 Tl 0.286 0.750 0.094
7 Tl 0.714 0.250 0.906
8 Tl 0.786 0.750 0.406
9 Pd 0.076 0.750 0.411
10 Pd 0.424 0.250 0.911
11 Pd 0.576 0.750 0.089
12 Pd 0.924 0.250 0.589

---

[3]
The following is a DFT calculation (GGA-PBE) of a relaxed structure of Re2PbCl.

Values from the calculation:
- DFT total energy: -28.96 eV/cell
- E_form (uncorrected): 0.37 eV/atom
- Space group: No. 160
- Spin magnetization: 0.000 μB per atom
- Distance to the lowest polymorph of the same formula: 235 meV per atom
- Theoretical density: 12.56 Mg/m³

Cell lengths 10.497, 10.497, 10.497 Å; angles 16.49, 16.49, 16.49 degrees
Fractional coordinates of all 4 atoms:
1 Re 0.000 0.000 0.000
2 Re 0.269 0.269 0.269
3 Pb 0.751 0.751 0.751
4 Cl 0.542 0.542 0.542

---

[4]
The following is a DFT calculation (GGA-PBE) of a relaxed structure of Ag15S5I4Br.

Values from the calculation:
- DFT total energy: -73.43 eV/cell
- E_form (uncorrected): -0.09 eV/atom
- Space group: No. 1
- Spin magnetization: 0.000 μB per atom
- Theoretical density: 6.60 Mg/m³

Cell lengths 6.971, 8.518, 10.972 Å; angles 105.01, 108.21, 90.31 degrees
Fractional coordinates of all 25 atoms:
1 Ag 0.000 0.000 0.000
2 Ag 0.012 0.611 0.550
3 Ag 0.147 0.974 0.671
4 Ag 0.174 0.795 0.398
5 Ag 0.213 0.416 0.955
6 Ag 0.352 0.784 0.061
7 Ag 0.375 0.591 0.794
8 Ag 0.408 0.219 0.349
9 Ag 0.538 0.580 0.456
10 Ag 0.590 0.386 0.192
11 Ag 0.619 0.010 0.764
12 Ag 0.734 0.376 0.856
13 Ag 0.769 0.185 0.593
14 Ag 0.820 0.808 0.144
15 Ag 0.941 0.171 0.265
16 S 0.183 0.949 0.225
17 S 0.383 0.751 0.627
18 S 0.580 0.548 0.024
19 S 0.778 0.346 0.425
20 S 0.981 0.151 0.827
21 I 0.129 0.459 0.212
22 I 0.329 0.255 0.609
23 I 0.730 0.857 0.406
24 I 0.931 0.657 0.809
25 Br 0.541 0.057 0.014

---

[5]
The following is a DFT calculation (GGA-PBE) of a relaxed structure of Rb5InAs2.

Values from the calculation:
- DFT total energy: -18.71 eV/cell
- ΔH_f (0 K): -0.229 eV/atom
- Space group: No. 166
- Spin magnetization: 0.000 μB per atom
- Theoretical density: 2.41 Mg/m³

Cell lengths 15.599, 15.599, 15.599 Å; angles 22.22, 22.22, 22.22 degrees
Fractional coordinates of all 8 atoms:
1 Rb 0.000 0.000 0.000
2 Rb 0.129 0.129 0.129
3 Rb 0.255 0.255 0.255
4 Rb 0.745 0.745 0.745
5 Rb 0.871 0.871 0.871
6 In 0.500 0.500 0.500
7 As 0.445 0.445 0.445
8 As 0.555 0.555 0.555

---

[6]
The following is a DFT calculation (GGA-PBE) of a relaxed structure of Re2GeBF.

Values from the calculation:
- DFT total energy: -27.97 eV/cell
- E_form (uncorrected): 2.02 eV/atom
- Space group: No. 123
- Spin magnetization: 1.018 μB per atom
- Theoretical density: 9.15 Mg/m³

Cell lengths 4.783, 4.783, 3.767 Å; angles 90.00, 90.00, 90.00 degrees
Fractional coordinates of all 5 atoms:
1 Re 0.000 0.500 0.000
2 Re 0.500 0.000 0.000
3 Ge 0.000 0.000 0.000
4 B 0.000 0.000 0.500
5 F 0.500 0.500 0.500